[1]
The following is a DFT calculation (PBE) of an optimized crystal structure of Be2RePt2.

abc: 6.7586 6.7586 2.7022
angles: 90.00 90.00 90.00
With the nearest neighbours (Å) after each atom.
Fractional coordinates of all 10 atoms:
Be1 0.1273 0.3727 0.0000  6 Pt 2.37-2.43, 1 Be 2.43
Be2 0.3727 0.8727 0.0000  6 Pt 2.37-2.43, 1 Be 2.43
Be3 0.6273 0.1273 0.0000  6 Pt 2.37-2.43, 1 Be 2.43
Be4 0.8727 0.6273 0.0000  6 Pt 2.37-2.43, 1 Be 2.43
Re1 0.0000 0.0000 0.0000  4 Be 2.66, 2 Re 2.70, 8 Pt 2.85
Re2 0.5000 0.5000 0.0000  4 Be 2.66, 2 Re 2.70, 8 Pt 2.85
Pt1 0.1689 0.6689 0.5000  6 Be 2.37-2.43
Pt2 0.3311 0.1689 0.5000  6 Be 2.37-2.43
Pt3 0.6689 0.8311 0.5000  6 Be 2.37-2.43
Pt4 0.8311 0.3311 0.5000  6 Be 2.37-2.43

Computed properties:
formation enthalpy at 0 K	-378	meV/atom
ΔE to the lowest computed polymorph	0	meV per atom
electronic total energy	-6.7742	eV per atom
space group	P4/mbm



[2]
The following is a DFT calculation (PBE) of an optimized crystal structure of BeCoGe.

abc: 9.1756 9.1756 9.1756
angles: 162.59 162.59 24.71
With the nearest neighbours (Å) after each atom.
Fractional coordinates of all 6 atoms:
Be1 0.2191 0.2191 0.0000  4 Be 2.25, 5 Co 2.34-2.38
Be2 0.7809 0.7809 0.0000  4 Be 2.25, 5 Co 2.34-2.38
Co1 0.3520 0.3520 0.0000  5 Be 2.34-2.38, 4 Ge 2.41
Co2 0.6480 0.6480 0.0000  5 Be 2.34-2.38, 4 Ge 2.41
Ge1 0.0697 0.0697 0.0000  4 Co 2.41, 1 Ge 2.50, 1 Be 2.68
Ge2 0.9303 0.9303 0.0000  4 Co 2.41, 1 Ge 2.50, 1 Be 2.68

Computed properties:
formation enthalpy at 0 K	-162	meV/atom
ΔE to the lowest computed polymorph	0	meV per atom
electronic total energy	-5.3121	eV per atom
space group	I4/mmm



[3]
The following is a DFT calculation (PBE) of an optimized crystal structure of UGe2Se6.

abc: 8.8581 8.8581 6.7804
angles: 96.78 96.78 84.05
With the nearest neighbours (Å) after each atom.
Fractional coordinates of all 18 atoms:
U1 0.1092 0.8908 0.7500  6 Se 2.74-2.88
U2 0.8908 0.1092 0.2500  6 Se 2.74-2.88
Ge1 0.2377 0.3856 0.6767  4 Se 2.38-2.50
Ge2 0.3856 0.2377 0.1767  4 Se 2.38-2.50
Ge3 0.6144 0.7623 0.8233  4 Se 2.38-2.50
Ge4 0.7623 0.6144 0.3233  4 Se 2.38-2.50
Se1 0.0458 0.1933 0.6278  1 Ge 2.50
Se2 0.1240 0.6032 0.8651  1 Ge 2.38
Se3 0.1933 0.0458 0.1278  1 Ge 2.50
Se4 0.2868 0.4669 0.3653  2 Ge 2.41
Se5 0.3968 0.8760 0.6349  1 Ge 2.38
Se6 0.4669 0.2868 0.8653  2 Ge 2.41
Se7 0.5331 0.7132 0.1347  2 Ge 2.41
Se8 0.6032 0.1240 0.3651  1 Ge 2.38
Se9 0.7132 0.5331 0.6347  2 Ge 2.41
Se10 0.8067 0.9542 0.8722  1 Ge 2.50
Se11 0.8760 0.3968 0.1349  1 Ge 2.38
Se12 0.9542 0.8067 0.3722  1 Ge 2.50

Computed properties:
formation energy (no corrections)	-3.979	eV/f.u.
electronic total energy	-5.0455	eV per atom
space group	C2/c



[4]
The following is a DFT calculation (PBE) of an optimized crystal structure of Nd2MgAg.

abc: 5.4100 5.4100 5.4100
angles: 60.00 60.00 60.00
With the nearest neighbours (Å) after each atom.
Fractional coordinates of all 4 atoms:
Nd1 0.2500 0.2500 0.2500  4 Ag 3.31, 4 Mg 3.31
Nd2 0.7500 0.7500 0.7500  4 Ag 3.31, 4 Mg 3.31
Mg1 0.0000 0.0000 0.0000  8 Nd 3.31
Ag1 0.5000 0.5000 0.5000  8 Nd 3.31

Computed properties:
formation enthalpy at 0 K	-135	meV/atom
ΔE to the lowest computed polymorph	48	meV per atom
electronic total energy	-3.6299	eV per atom
space group	Fm-3m



Among the records above, which one has the highest electronic total energy? Nd2MgAg



What is the formula in the third record? UGe2Se6